--- a ---
3
Lattice="5.883 -0.006 -0.004 4.277 4.039 -0.004 4.277 1.698 3.665" Properties=species:S:1:pos:R:3 comment="Cd2Te PBE-GGA relaxed" magmom_total_mub_per_atom=0.000 crystal_system=trigonal volume_a3_per_atom=29.1 dos_ef_per_ev_cell=1.62 pbc="T T T"
Te 0.011 0.004 0.003
Cd 11.220 4.454 2.842
Cd 8.017 3.182 2.031

=====

--- b ---
6
Lattice="-2.012 2.012 10.390 2.012 -2.012 10.390 2.012 2.012 -10.390" Properties=species:S:1:pos:R:3 comment="Cd2Te PBE-GGA relaxed" magmom_total_mub_per_atom=0.000 crystal_system=tetragonal volume_a3_per_atom=28.0 dos_ef_per_ev_cell=4.09 pbc="T T T"
Cd 0.000 0.000 11.914
Cd 2.012 0.000 3.670
Cd 0.000 0.000 8.865
Cd 2.012 0.000 6.720
Te 0.000 0.000 0.000
Te 0.000 2.012 5.195

=====

--- c ---
6
Lattice="1.980 4.240 -5.045 -4.866 -4.484 1.888 -3.192 4.545 2.567" Properties=species:S:1:pos:R:3 comment="Cd2Te PBE-GGA relaxed" magmom_total_mub_per_atom=0.000 crystal_system=orthorhombic volume_a3_per_atom=28.6 dos_ef_per_ev_cell=2.70 pbc="T T T"
Cd -2.667 4.778 -0.839
Cd -7.248 -1.058 3.799
Cd 1.169 5.359 -4.390
Cd -3.412 -0.477 0.248
Te -4.960 1.857 1.483
Te -1.119 2.445 -2.074

=====

--- d ---
6
Lattice="4.618 -0.632 9.597 -7.301 2.748 -7.279 -2.095 -3.508 0.777" Properties=species:S:1:pos:R:3 comment="Cd2Te PBE-GGA relaxed" magmom_total_mub_per_atom=0.000 crystal_system=orthorhombic volume_a3_per_atom=30.0 dos_ef_per_ev_cell=2.52 pbc="T T T"
Cd -0.228 -2.335 5.544
Cd -4.200 -1.208 -0.080
Cd -4.550 0.942 -2.448
Cd -0.578 -0.184 3.176
Te -7.797 -0.188 -5.174
Te 3.019 -1.204 8.269

=====

Unit: kJ/mol of atoms. Relative energies: a 2.5; b 10.5; c 0.0; d 5.9.

=====

--- a ---
16
Lattice="10.936 0.000 0.000 -5.077 9.276 0.000 0.000 0.000 6.025" Properties=species:S:1:pos:R:3 comment="Cd3Te5 PBE-GGA relaxed" magmom_total_mub_per_atom=0.227 crystal_system=monoclinic volume_a3_per_atom=38.2 dos_ef_per_ev_cell=8.24 pbc="T T T"
Te 0.390 6.230 5.835
Te 5.469 3.046 2.822
Te 5.469 3.046 0.191
Te 0.390 6.230 3.203
Te -1.989 8.833 1.506
Te 7.849 0.443 4.519
Te -1.164 2.940 1.506
Te 3.918 6.849 1.506
Te 1.942 2.426 4.519
Te 7.023 6.336 4.519
Cd 8.566 0.370 1.506
Cd -2.707 8.906 4.519
Cd 6.753 7.046 1.506
Cd 1.463 1.891 1.506
Cd 4.396 7.385 4.519
Cd -0.894 2.230 4.519

=====

--- b ---
8
Lattice="-2.871 2.433 1.578 0.757 -1.514 3.713 9.993 10.373 2.192" Properties=species:S:1:pos:R:3 comment="Cd3Te5 PBE-GGA relaxed" magmom_total_mub_per_atom=0.000 crystal_system=tetragonal volume_a3_per_atom=30.3 dos_ef_per_ev_cell=4.12 pbc="T T T"
Cd 4.997 5.187 1.096
Cd 0.369 1.940 2.958
Cd 7.510 9.352 4.525
Te 0.000 0.000 0.000
Te 2.097 2.177 0.460
Te 7.896 8.196 1.732
Te 2.957 4.626 3.526
Te 4.923 6.666 3.957

=====

Unit: kJ/mol of atoms. Relative energies: a 0.0; b 4.8.